Record 1
Below is crystalline MgIn4Hg at its relaxed geometry, with properties calculated at the PBE-GGA level.

a = 6.1856 Å, b = 6.1856 Å, c = 6.1856 Å
α = 60.00°, β = 60.00°, γ = 60.00°
Sites, in units of the cell vectors:
Mg 0.7500 0.7500 0.7500
In 0.8751 0.3750 0.3750
In 0.3750 0.3750 0.8751
In 0.3750 0.8751 0.3750
In 0.3750 0.3750 0.3750
Hg 0.0000 0.0000 0.0000

Output
For the density of states at the Fermi level, the calculation gives 3.52 states/eV/cell. The excess energy over the best structure of this formula in the dataset comes out at 0.1496 eV/atom. The electronic total energy comes out at -2.01 eV/atom. The value obtained for the magnetization is 0.00 μB per cell. The formation energy from the elements is 0.127 eV per atom.

***

Record 2
Below is crystalline MnHgAu2 at its relaxed geometry, with properties calculated at the PBE-GGA level.

a = 7.6049 Å, b = 7.6049 Å, c = 6.0602 Å
α = 51.14°, β = 51.14°, γ = 90.00°
Sites, in units of the cell vectors:
Mn 0.5000 0.5000 0.0000
Mn 0.2500 0.7500 0.5000
Au 0.6022 0.1250 0.2500
Au 0.1478 0.6250 0.2500
Au 0.3750 0.3978 0.7500
Au 0.8750 0.8522 0.7500
Hg 0.0000 0.0000 0.0000
Hg 0.7500 0.2500 0.5000

Output
For the density of states at the Fermi level, the calculation gives 4.68 states/eV/cell. The electronic total energy comes out at -3.80 eV/atom. The value obtained for the magnetization is 8.73 μB per cell. The formation energy from the elements is 0.205 eV per atom.

***

Record 3
Below is crystalline BaDyIr4 at its relaxed geometry, with properties calculated at the PBE-GGA level.

a = 5.4844 Å, b = 5.4844 Å, c = 5.4844 Å
α = 60.00°, β = 60.00°, γ = 60.00°
Sites, in units of the cell vectors:
Ir 0.6255 0.6255 0.1236
Ir 0.6255 0.1236 0.6255
Ir 0.6255 0.6255 0.6255
Ir 0.1236 0.6255 0.6255
Ba 0.2500 0.2500 0.2500
Dy 0.0000 0.0000 0.0000

Output
For the density of states at the Fermi level, the calculation gives 7.84 states/eV/cell. The electronic total energy comes out at -7.33 eV/atom. The value obtained for the magnetization is 0.00 μB per cell. The formation energy from the elements is -0.332 eV per atom.

***

Record 4
Below is crystalline TlCdAu at its relaxed geometry, with properties calculated at the PBE-GGA level.

a = 4.2792 Å, b = 4.2598 Å, c = 7.9184 Å
α = 90.02°, β = 90.01°, γ = 89.98°
Sites, in units of the cell vectors:
Tl 0.8133 0.8661 0.5517
Tl 0.3137 0.3665 0.2875
Cd 0.8136 0.3666 0.9191
Cd 0.3137 0.8665 0.9201
Au 0.8139 0.8668 0.1696
Au 0.3134 0.3663 0.6696

Output
For the density of states at the Fermi level, the calculation gives 1.96 states/eV/cell. The electronic total energy comes out at -2.28 eV/atom. The value obtained for the magnetization is 0.00 μB per cell. The formation energy from the elements is -0.091 eV per atom.

***

Record 5
Below is crystalline LiSnSbS3 at its relaxed geometry, with properties calculated at the PBE-GGA level.

a = 3.9625 Å, b = 8.7238 Å, c = 8.6363 Å
α = 100.88°, β = 90.00°, γ = 90.00°
Sites, in units of the cell vectors:
Li 0.2500 0.0737 0.5917
Li 0.7500 0.9263 0.4083
Sn 0.2500 0.2302 0.2233
Sn 0.7500 0.7698 0.7767
Sb 0.2500 0.6823 0.1773
Sb 0.7500 0.3177 0.8227
S 0.7500 0.8639 0.1170
S 0.2500 0.1361 0.8830
S 0.2500 0.7959 0.4659
S 0.7500 0.2041 0.5341
S 0.7500 0.4235 0.1924
S 0.2500 0.5765 0.8076

Output
The uncorrected formation energy is -0.523 eV per atom. The electronic total energy comes out at -4.26 eV/atom. The value obtained for the magnetization is 0.00 μB per cell.

***

Record 6
Below is crystalline Co2CuCl8 at its relaxed geometry, with properties calculated at the PBE-GGA level.

a = 8.1886 Å, b = 9.7678 Å, c = 10.0188 Å
α = 73.01°, β = 65.88°, γ = 65.22°
Sites, in units of the cell vectors:
Co 0.8410 0.8693 0.9659
Co 0.3239 0.3693 0.4659
Co 0.6761 0.6307 0.5341
Co 0.1590 0.1307 0.0341
Cu 0.9893 0.7500 0.2500
Cu 0.0107 0.2500 0.7500
Cl 0.3872 0.7578 0.5539
Cl 0.1313 0.9449 0.2161
Cl 0.7096 0.9490 0.1823
Cl 0.1649 0.2203 0.4950
Cl 0.2904 0.0510 0.8177
Cl 0.8803 0.2797 0.0050
Cl 0.8351 0.7797 0.5050
Cl 0.1591 0.4490 0.6823
Cl 0.1197 0.7203 0.9950
Cl 0.6989 0.7422 0.9461
Cl 0.7077 0.4449 0.7161
Cl 0.2923 0.5551 0.2839
Cl 0.3011 0.2578 0.0539
Cl 0.8409 0.5510 0.3177
Cl 0.6128 0.2422 0.4461
Cl 0.8687 0.0551 0.7839

Output
For the density of states at the Fermi level, the calculation gives 14.56 states/eV/cell. The excess energy over the best structure of this formula in the dataset comes out at 0.0156 eV/atom. The uncorrected formation energy is -0.471 eV per atom. The electronic total energy comes out at -3.48 eV/atom. The value obtained for the magnetization is 18.07 μB per cell.

***

Record 7
Below is crystalline Cu2Pt at its relaxed geometry, with properties calculated at the PBE-GGA level.

a = 5.2746 Å, b = 3.8375 Å, c = 7.8795 Å
α = 90.00°, β = 90.00°, γ = 90.00°
Sites, in units of the cell vectors:
Cu 0.1117 0.2500 0.2509
Cu 0.1287 0.2500 0.5815
Cu 0.3713 0.7500 0.0815
Cu 0.3883 0.7500 0.7509
Cu 0.6117 0.2500 0.2491
Cu 0.6287 0.2500 0.9185
Cu 0.8713 0.7500 0.4185
Cu 0.8883 0.7500 0.7491
Pt 0.1361 0.2500 0.9116
Pt 0.3639 0.7500 0.4116
Pt 0.6361 0.2500 0.5884
Pt 0.8639 0.7500 0.0884

Output
For the density of states at the Fermi level, the calculation gives 4.50 states/eV/cell. The excess energy over the best structure of this formula in the dataset comes out at 0.0002 eV/atom. The electronic total energy comes out at -4.89 eV/atom. The value obtained for the magnetization is 0.00 μB per cell. The formation energy from the elements is -0.145 eV per atom.

***

Record 8
Below is crystalline ScTcMo2 at its relaxed geometry, with properties calculated at the PBE-GGA level.

a = 3.1800 Å, b = 4.4360 Å, c = 4.6071 Å
α = 90.00°, β = 90.00°, γ = 90.00°
Sites, in units of the cell vectors:
Mo 0.0000 0.0000 0.0000
Mo 0.5000 0.5000 0.0000
Sc 0.5000 0.0000 0.5000
Tc 0.0000 0.5000 0.5000

Output
For the density of states at the Fermi level, the calculation gives 3.98 states/eV/cell. The excess energy over the best structure of this formula in the dataset comes out at 0.1052 eV/atom. The electronic total energy comes out at -9.59 eV/atom. The value obtained for the magnetization is 0.00 μB per cell. The formation energy from the elements is -0.003 eV per atom.

***

Repeat the first record exactly.
Below is crystalline MgIn4Hg at its relaxed geometry, with properties calculated at the PBE-GGA level.

a = 6.1856 Å, b = 6.1856 Å, c = 6.1856 Å
α = 60.00°, β = 60.00°, γ = 60.00°
Sites, in units of the cell vectors:
Mg 0.7500 0.7500 0.7500
In 0.8751 0.3750 0.3750
In 0.3750 0.3750 0.8751
In 0.3750 0.8751 0.3750
In 0.3750 0.3750 0.3750
Hg 0.0000 0.0000 0.0000

Output
For the density of states at the Fermi level, the calculation gives 3.52 states/eV/cell. The excess energy over the best structure of this formula in the dataset comes out at 0.1496 eV/atom. The electronic total energy comes out at -2.01 eV/atom. The value obtained for the magnetization is 0.00 μB per cell. The formation energy from the elements is 0.127 eV per atom.